1.
This record from Alexandria describes a geometry-optimized CoBRh structure. The functional is PBE.

Structure (POSCAR):
```
CoBRh
1.0
3.523 0.000 0.000
0.000 5.443 0.000
0.000 -2.721 4.713
Rh B Co
3 3 3
direct
0.000 0.598 0.000
0.000 0.402 0.402
0.000 0.000 0.598
0.500 0.333 0.667
0.000 0.000 0.000
0.500 0.667 0.333
0.500 0.258 0.000
0.500 0.742 0.742
0.500 0.000 0.258
```

DOS(E_F) in states/eV/atom: 0.68
E_form in meV/atom: -215
Size of the total moment in μB per cell: 3.027
DFT total energy in hartree per atom: -0.2668

---

2.
This record from Alexandria describes a geometry-optimized CoB2Rh structure. The functional is PBE.

Structure (POSCAR):
```
CoB2Rh
1.0
-0.900 -3.422 -2.803
0.805 -2.939 3.329
-4.439 -3.015 1.472
Rh Co B
2 2 4
direct
0.750 0.250 0.500
0.000 0.000 0.000
0.500 0.500 0.000
0.250 0.750 0.500
0.375 0.397 0.750
0.875 0.853 0.750
0.603 0.125 0.250
0.147 0.625 0.250
```

Offset from the most stable computed form in kJ/mol of formula units: 145
DOS(E_F) in states/eV/atom: 0.00
E_form in meV/atom: 278
Size of the total moment in μB per cell: 0.000
DFT total energy in hartree per atom: -0.2453

---

3.
This record from Alexandria describes a geometry-optimized Co3BRh structure. The functional is PBE.

Structure (POSCAR):
```
Co3BRh
1.0
3.817 0.000 0.000
0.000 3.817 0.000
0.000 0.000 3.817
Co Rh B
3 1 1
direct
0.500 0.000 0.000
0.000 0.000 0.500
0.000 0.500 0.000
0.500 0.500 0.500
0.000 0.000 0.000
```

Offset from the most stable computed form in kJ/mol of formula units: 0
DOS(E_F) in states/eV/atom: 1.21
E_form in meV/atom: 156
Size of the total moment in μB per cell: 4.962
DFT total energy in hartree per atom: -0.2541

---

4.
This record from Alexandria describes a geometry-optimized ScCoBRh2 structure. The functional is PBE.

Structure (POSCAR):
```
ScCoBRh2
1.0
4.115 0.000 0.000
0.000 4.115 0.000
0.000 0.000 3.917
Co B Sc Rh
1 1 1 2
direct
0.000 0.000 0.500
0.000 0.000 0.000
0.500 0.500 0.500
0.000 0.500 0.000
0.500 0.000 0.000
```

DOS(E_F) in states/eV/atom: 0.33
E_form in meV/atom: -637
Size of the total moment in μB per cell: 0.938
DFT total energy in hartree per atom: -0.2793

---

5.
This record from Alexandria describes a geometry-optimized Co2SiBRh structure. The functional is PBE.

Structure (POSCAR):
```
Co2SiBRh
1.0
3.743 0.000 0.000
0.000 4.010 0.000
0.000 0.000 3.743
Rh Si Co B
1 1 2 1
direct
0.500 0.500 0.500
0.000 0.500 0.000
0.500 0.000 0.000
0.000 0.000 0.500
0.000 0.000 0.000
```

Raw formation energy in eV per atom: 0.084
DOS(E_F) in states/eV/atom: 0.72
Size of the total moment in μB per cell: 1.841
DFT total energy in hartree per atom: -0.2444

---

6.
This record from Alexandria describes a geometry-optimized Co2SnBRh structure. The functional is PBE.

Structure (POSCAR):
```
Co2SnBRh
1.0
-2.292 1.965 -2.493
-2.661 -2.866 0.188
-1.810 1.888 3.152
B Sn Co Rh
1 1 2 1
direct
0.000 0.000 0.000
0.500 0.500 0.500
0.500 0.000 0.000
0.000 0.500 0.000
0.000 0.000 0.500
```

DOS(E_F) in states/eV/atom: 0.58
E_form in meV/atom: -188
Size of the total moment in μB per cell: 0.000
DFT total energy in hartree per atom: -0.2439

---

What did the first record say?
This record from Alexandria describes a geometry-optimized CoBRh structure. The functional is PBE.

Structure (POSCAR):
```
CoBRh
1.0
3.523 0.000 0.000
0.000 5.443 0.000
0.000 -2.721 4.713
Rh B Co
3 3 3
direct
0.000 0.598 0.000
0.000 0.402 0.402
0.000 0.000 0.598
0.500 0.333 0.667
0.000 0.000 0.000
0.500 0.667 0.333
0.500 0.258 0.000
0.500 0.742 0.742
0.500 0.000 0.258
```

DOS(E_F) in states/eV/atom: 0.68
E_form in meV/atom: -215
Size of the total moment in μB per cell: 3.027
DFT total energy in hartree per atom: -0.2668